Pr2Zn3Cu12Pt (GGA-PBE, optimized geometry); energy of formation from the pure elements = 0.064 eV per atom; E = -3.746 eV per atom
1.0
-9.505 1.171 2.068
-9.032 -2.344 -2.986
-8.123 -4.824 2.595
Pr Zn Cu Pt
2 3 12 1
direct
0.649 0.649 0.649
0.351 0.351 0.351
0.500 0.000 0.000
0.000 0.500 0.000
0.000 0.000 0.500
0.419 0.419 0.807
0.930 0.930 0.359
0.359 0.930 0.930
0.807 0.419 0.419
0.930 0.359 0.930
0.419 0.807 0.419
0.581 0.581 0.193
0.070 0.070 0.641
0.641 0.070 0.070
0.193 0.581 0.581
0.070 0.641 0.070
0.581 0.193 0.581
0.000 0.000 0.000

=====

Pr2ZnCu2Pt5 (GGA-PBE, optimized geometry); energy of formation from the pure elements = -0.702 eV per atom; E = -5.624 eV per atom
1.0
-3.843 -0.798 0.144
0.403 -0.227 9.517
-1.925 9.326 0.304
Pr Zn Cu Pt
4 2 4 10
direct
0.000 0.678 0.178
0.000 0.322 0.822
0.000 0.178 0.322
0.000 0.822 0.678
0.000 0.000 0.000
0.000 0.500 0.500
0.000 0.121 0.621
0.000 0.879 0.379
0.000 0.621 0.879
0.000 0.379 0.121
0.500 0.205 0.064
0.500 0.795 0.936
0.500 0.064 0.795
0.500 0.705 0.436
0.500 0.936 0.205
0.500 0.295 0.564
0.500 0.564 0.705
0.500 0.436 0.295
0.500 0.500 0.000
0.500 0.000 0.500

=====

PrZnCuPt2 (GGA-PBE, optimized geometry); energy of formation from the pure elements = -0.675 eV per atom; E = -5.122 eV per atom
1.0
4.016 0.000 0.000
0.000 4.016 0.000
-2.008 -2.008 5.942
Pr Zn Cu Pt
1 1 1 2
direct
0.000 0.000 0.000
0.750 0.250 0.500
0.250 0.750 0.500
0.613 0.613 0.226
0.387 0.387 0.774

=====

Pr2Zn2CuPt5 (GGA-PBE, optimized geometry); energy of formation from the pure elements = -0.669 eV per atom; E = -5.309 eV per atom
1.0
-2.482 2.679 1.086
-3.829 -6.181 6.496
6.330 3.140 6.719
Pr Zn Cu Pt
4 4 2 10
direct
0.000 0.678 0.178
0.000 0.322 0.822
0.000 0.178 0.322
0.000 0.822 0.678
0.000 0.121 0.621
0.000 0.879 0.379
0.000 0.621 0.879
0.000 0.379 0.121
0.000 0.000 0.000
0.000 0.500 0.500
0.500 0.200 0.060
0.500 0.800 0.940
0.500 0.060 0.800
0.500 0.700 0.440
0.500 0.940 0.200
0.500 0.300 0.560
0.500 0.560 0.700
0.500 0.440 0.300
0.500 0.500 0.000
0.500 0.000 0.500

=====

PrZnCuPt3 (GGA-PBE, optimized geometry); energy of formation from the pure elements = -0.462 eV per atom; E = -5.174 eV per atom
1.0
-3.081 3.948 -2.825
-4.419 -0.080 4.707
5.216 4.460 0.544
Pr Zn Cu Pt
2 2 2 6
direct
0.750 0.296 0.593
0.250 0.704 0.407
0.250 0.359 0.718
0.750 0.641 0.282
0.250 0.934 0.868
0.750 0.066 0.132
0.250 0.156 0.311
0.000 0.290 0.000
0.500 0.710 0.000
0.500 0.290 0.000
0.000 0.710 0.000
0.750 0.844 0.689

=====

PrPu2Cu9 (GGA-PBE, optimized geometry); energy of formation from the pure elements = -0.088 eV per atom; E = -5.947 eV per atom
1.0
-3.985 -1.781 2.792
-0.293 -5.038 1.176
2.896 -0.877 8.381
Pr Pu Cu
1 2 9
direct
0.000 0.000 0.000
0.852 0.852 0.444
0.148 0.148 0.556
0.668 0.668 0.995
0.332 0.332 0.005
0.500 0.500 0.500
0.421 0.421 0.244
0.915 0.421 0.244
0.421 0.915 0.244
0.579 0.579 0.756
0.579 0.085 0.756
0.085 0.579 0.756

=====

PrPuCu2 (GGA-PBE, optimized geometry); energy of formation from the pure elements = 0.015 eV per atom; E = -6.811 eV per atom; energy above the most stable polymorph in this dataset = 0 meV per atom
1.0
3.521 0.000 0.000
0.000 3.521 0.000
0.000 0.000 7.164
Pr Cu Pu
1 2 1
direct
0.500 0.500 0.500
0.000 0.000 0.764
0.000 0.000 0.236
0.500 0.500 0.000

=====

PrPuCu2 (GGA-PBE, optimized geometry); energy of formation from the pure elements = 0.044 eV per atom; E = -6.782 eV per atom; energy above the most stable polymorph in this dataset = 29 meV per atom
1.0
5.025 0.000 0.000
2.512 4.352 0.000
2.512 1.451 4.103
Pr Cu Pu
1 2 1
direct
0.500 0.500 0.500
0.250 0.250 0.250
0.750 0.750 0.750
0.000 0.000 0.000

=====

PrPuCu4 (GGA-PBE, optimized geometry); energy of formation from the pure elements = -0.012 eV per atom; E = -5.928 eV per atom; energy above the most stable polymorph in this dataset = 41 meV per atom
1.0
5.324 0.000 0.000
2.662 4.611 0.000
2.662 1.537 4.347
Pr Cu Pu
1 4 1
direct
0.250 0.250 0.250
0.626 0.626 0.123
0.626 0.123 0.626
0.626 0.626 0.626
0.123 0.626 0.626
0.000 0.000 0.000

=====

PrPuCu4 (GGA-PBE, optimized geometry); energy of formation from the pure elements = -0.053 eV per atom; E = -5.969 eV per atom; energy above the most stable polymorph in this dataset = 0 meV per atom
1.0
3.786 0.000 -1.169
-0.361 3.769 -1.169
0.424 0.467 8.089
Pr Pu Cu
1 1 4
direct
0.000 0.000 0.000
0.250 0.750 0.500
0.671 0.171 0.341
0.582 0.582 0.164
0.829 0.329 0.659
0.418 0.418 0.836

=====

PrPuCuRu (GGA-PBE, optimized geometry); energy of formation from the pure elements = -0.015 eV per atom; E = -8.136 eV per atom
1.0
4.952 0.000 0.000
2.476 4.289 0.000
2.476 1.430 4.044
Pr Ru Cu Pu
1 1 1 1
direct
0.250 0.250 0.250
0.000 0.000 0.000
0.500 0.500 0.500
0.750 0.750 0.750

=====

PrPuCuS4 (GGA-PBE, optimized geometry); raw formation energy = -1.3493 eV/atom; E = -7.023 eV per atom
1.0
6.758 0.000 0.126
0.000 5.599 0.000
-2.482 0.000 7.621
Pr Pu Cu S
2 2 2 8
direct
0.732 0.750 0.933
0.268 0.250 0.067
0.740 0.750 0.438
0.260 0.250 0.562
0.247 0.750 0.314
0.753 0.250 0.686
0.017 0.514 0.749
0.983 0.014 0.251
0.983 0.486 0.251
0.017 0.986 0.749
0.430 0.750 0.116
0.570 0.250 0.884
0.426 0.750 0.601
0.574 0.250 0.399

=====

Please write out number 1 again, unchanged.
Pr2Zn3Cu12Pt (GGA-PBE, optimized geometry); energy of formation from the pure elements = 0.064 eV per atom; E = -3.746 eV per atom
1.0
-9.505 1.171 2.068
-9.032 -2.344 -2.986
-8.123 -4.824 2.595
Pr Zn Cu Pt
2 3 12 1
direct
0.649 0.649 0.649
0.351 0.351 0.351
0.500 0.000 0.000
0.000 0.500 0.000
0.000 0.000 0.500
0.419 0.419 0.807
0.930 0.930 0.359
0.359 0.930 0.930
0.807 0.419 0.419
0.930 0.359 0.930
0.419 0.807 0.419
0.581 0.581 0.193
0.070 0.070 0.641
0.641 0.070 0.070
0.193 0.581 0.581
0.070 0.641 0.070
0.581 0.193 0.581
0.000 0.000 0.000

=====

> E of number 3 (PrZnCuPt2)?

-5.122 eV per atom

=====

> What is the E in the seventh record?

-6.811 eV per atom